1.
{"formula": "Ta3Al", "functional": "PBE-GGA", "state": "optimized geometry", "lattice": [[5.8385, 0.0000, 0.0000], [-2.9193, 5.0563, 0.0000], [0.0000, 0.0000, 9.5952]], "species": ["Al", "Al", "Al", "Al", "Ta", "Ta", "Ta", "Ta", "Ta", "Ta", "Ta", "Ta", "Ta", "Ta", "Ta", "Ta"], "fractional_positions": [[0.0000, 0.0000, 0.0000], [0.0000, 0.0000, 0.5000], [0.3333, 0.6667, 0.2500], [0.6667, 0.3333, 0.7500], [0.5000, 0.0000, 0.0000], [0.5000, 0.0000, 0.5000], [0.0000, 0.5000, 0.0000], [0.5000, 0.5000, 0.0000], [0.5000, 0.5000, 0.5000], [0.0000, 0.5000, 0.5000], [0.8322, 0.6644, 0.2500], [0.1678, 0.3356, 0.7500], [0.3356, 0.1678, 0.2500], [0.8322, 0.1678, 0.2500], [0.1678, 0.8322, 0.7500], [0.6644, 0.8322, 0.7500]], "vol_a3_per_cell": 283, "sg": "P6_3/mmc, No. 194", "n_ef_per_ev_atom": 1.292, "final_energy_ev_per_cell": -158.148}

---

2.
{"formula": "TaAl", "functional": "PBE-GGA", "state": "optimized geometry", "lattice": [[5.1766, 0.0000, 0.0000], [-2.5883, 4.4831, 0.0000], [0.0000, 0.0000, 8.7846]], "species": ["Ta", "Ta", "Ta", "Ta", "Ta", "Ta", "Al", "Al", "Al", "Al", "Al", "Al"], "fractional_positions": [[0.6667, 0.3333, 0.9607], [0.3333, 0.6667, 0.4607], [0.6667, 0.3333, 0.5393], [0.3333, 0.6667, 0.0393], [0.0000, 0.0000, 0.5000], [0.0000, 0.0000, 0.0000], [0.1698, 0.8302, 0.7500], [0.8302, 0.6604, 0.2500], [0.3396, 0.1698, 0.2500], [0.6604, 0.8302, 0.7500], [0.1698, 0.3396, 0.7500], [0.8302, 0.1698, 0.2500]], "vol_a3_per_cell": 204, "sg": "P6_3/mmc, No. 194", "n_ef_per_ev_atom": 0.363, "final_energy_ev_per_cell": -95.155}

---

3.
{"formula": "Ta3Al", "functional": "PBE-GGA", "state": "optimized geometry", "lattice": [[-1.9705, -4.7795, 2.4591], [2.3326, -0.8278, -5.1621], [4.1859, -0.6952, 2.0030]], "species": ["Al", "Al", "Ta", "Ta", "Ta", "Ta", "Ta", "Ta"], "fractional_positions": [[0.6580, 0.3420, 0.7500], [0.3420, 0.6580, 0.2500], [0.1338, 0.8662, 0.7500], [0.8662, 0.1338, 0.2500], [0.6316, 0.8452, 0.7500], [0.3684, 0.1548, 0.2500], [0.8452, 0.6316, 0.2500], [0.1548, 0.3684, 0.7500]], "vol_a3_per_cell": 140, "sg": "Cmcm, No. 63", "n_ef_per_ev_atom": 0.576, "final_energy_ev_per_cell": -79.843}

---

4.
{"formula": "Ta5Al3", "functional": "PBE-GGA", "state": "optimized geometry", "lattice": [[2.9254, 6.7348, 2.6618], [-7.5077, -0.4342, -2.1088], [-1.2943, -1.3704, 4.8899]], "species": ["Ta", "Ta", "Ta", "Ta", "Ta", "Ta", "Ta", "Ta", "Ta", "Ta", "Al", "Al", "Al", "Al", "Al", "Al"], "fractional_positions": [[0.6667, 0.3333, 0.5000], [0.3333, 0.6667, 0.5000], [0.3333, 0.6667, 0.0000], [0.6667, 0.3333, 0.0000], [0.7666, 0.7666, 0.2500], [0.2334, 0.0000, 0.2500], [0.0000, 0.2334, 0.2500], [0.2334, 0.2334, 0.7500], [0.7666, 0.0000, 0.7500], [0.0000, 0.7666, 0.7500], [0.4027, 0.4027, 0.2500], [0.5973, 0.0000, 0.2500], [0.0000, 0.5973, 0.2500], [0.5973, 0.5973, 0.7500], [0.4027, 0.0000, 0.7500], [0.0000, 0.4027, 0.7500]], "vol_a3_per_cell": 277, "de_polymorph_mev_per_atom": 84, "sg": "P6_3/mcm, No. 193", "n_ef_per_ev_atom": 0.761}

---

5.
{"formula": "Ta2Al", "functional": "PBE-GGA", "state": "optimized geometry", "lattice": [[-4.0406, 0.2548, 0.6369], [0.5767, -0.7982, 3.9783], [0.3222, 3.4808, 0.6517]], "species": ["Al", "Ta", "Ta"], "fractional_positions": [[0.0000, 0.0000, 0.0000], [0.0000, 0.5000, 0.5000], [0.5000, 0.0000, 0.5000]], "vol_a3_per_cell": 60, "sg": "P4/mmm, No. 123", "n_ef_per_ev_atom": 0.697, "final_energy_ev_per_cell": -25.666}

---

6.
{"formula": "TaAl", "functional": "PBE-GGA", "state": "optimized geometry", "lattice": [[-6.0154, -3.4797, 2.4701], [2.5913, -6.3705, -2.6639], [3.3904, -1.3048, 6.4185]], "species": ["Ta", "Ta", "Ta", "Ta", "Ta", "Ta", "Al", "Al", "Al", "Al", "Al", "Al"], "fractional_positions": [[0.2500, 0.0000, 0.5000], [0.7500, 0.0000, 0.5000], [0.0000, 0.5000, 0.2500], [0.0000, 0.5000, 0.7500], [0.5000, 0.2500, 0.0000], [0.5000, 0.7500, 0.0000], [0.2500, 0.5000, 0.0000], [0.7500, 0.5000, 0.0000], [0.5000, 0.0000, 0.2500], [0.5000, 0.0000, 0.7500], [0.0000, 0.2500, 0.5000], [0.0000, 0.7500, 0.5000]], "vol_a3_per_cell": 401, "sg": "Pm-3n, No. 223", "n_ef_per_ev_atom": 1.212, "final_energy_ev_per_cell": -67.718}